First-principles (PBE) data for a geometry-optimized FeNiW2 structure, as listed in Alexandria via LeMat-Bulk.

Results
DOS(E_F)   0.697 states/eV/atom
Crystal system   orthorhombic
VASP energy   -9.96 eV per atom
Polymorph energy (0 for the lowest one)   0.0061 eV per atom
V   13.3 Å³ per atom
Energy relative to the elements   0.082 eV/atom

Structure (POSCAR):
```
FeNiW2
1.0
0.0000 2.6865 3.7064
2.6803 0.0000 3.7064
2.6803 2.6865 0.0000
Fe Ni W
1 1 2
Direct
0.0000 0.0000 0.0000
0.5000 0.5000 0.5000
0.2500 0.2500 0.2500
0.7500 0.7500 0.7500
```

***

First-principles (PBE) data for a geometry-optimized AcTmRh2 structure, as listed in Alexandria via LeMat-Bulk.

Results
DOS(E_F)   0.984 states/eV/atom
Crystal system   cubic
VASP energy   -6.47 eV per atom
Polymorph energy (0 for the lowest one)   0.0371 eV per atom
V   22.5 Å³ per atom
Energy relative to the elements   -0.651 eV/atom

Structure (POSCAR):
```
AcTmRh2
1.0
0.0000 3.5546 3.5546
3.5546 0.0000 3.5546
3.5546 3.5546 0.0000
Ac Tm Rh
1 1 2
Direct
0.0000 0.0000 0.0000
0.5000 0.5000 0.5000
0.2500 0.2500 0.2500
0.7500 0.7500 0.7500
```

***

First-principles (PBE) data for a geometry-optimized NdGaNi4P2 structure, as listed in Alexandria via LeMat-Bulk.

Results
DOS(E_F)   0.674 states/eV/atom
Crystal system   tetragonal
VASP energy   -5.88 eV per atom
V   14.5 Å³ per atom
Energy relative to the elements   -0.660 eV/atom

Structure (POSCAR):
```
NdGaNi4P2
1.0
3.9432 0.0000 0.0000
0.0000 3.9432 0.0000
0.0000 0.0000 7.4656
Nd Ga Ni P
1 1 4 2
Direct
0.0000 0.0000 0.0000
0.0000 0.0000 0.5000
0.0000 0.5000 0.3120
0.0000 0.5000 0.6881
0.5000 0.0000 0.3120
0.5000 0.0000 0.6881
0.5000 0.5000 0.1648
0.5000 0.5000 0.8352
```

***

First-principles (PBE) data for a geometry-optimized PmPuTl4 structure, as listed in Alexandria via LeMat-Bulk.

Results
DOS(E_F)   3.310 states/eV/atom
Crystal system   cubic
VASP energy   -4.74 eV per atom
V   28.7 Å³ per atom
Energy relative to the elements   0.018 eV/atom

Structure (POSCAR):
```
PmPuTl4
1.0
0.0000 4.4152 4.4152
4.4152 0.0000 4.4152
4.4152 4.4152 0.0000
Pm Pu Tl
1 1 4
Direct
0.0000 0.0000 0.0000
0.7500 0.7500 0.7500
0.3750 0.3750 0.3750
0.3750 0.3750 0.8751
0.3750 0.8751 0.3750
0.8751 0.3750 0.3750
```

***

First-principles (PBE) data for a geometry-optimized Th4GeOsS2 structure, as listed in Alexandria via LeMat-Bulk.

Results
DOS(E_F)   0.829 states/eV/atom
Crystal system   monoclinic
Energy relative to the elements, uncorrected   -1.158 eV per atom
VASP energy   -7.88 eV per atom
V   25.8 Å³ per atom

Structure (POSCAR):
```
Th4GeOsS2
1.0
7.1858 0.0000 0.0000
0.0000 4.1296 0.0000
-2.4334 0.0000 6.9521
Th Ge Os S
4 1 1 2
Direct
0.2345 0.0000 0.2335
0.2478 0.5000 0.7597
0.7522 0.5000 0.2403
0.7655 0.0000 0.7665
0.0000 0.0000 0.5000
0.0000 0.5000 0.0000
0.5000 0.0000 0.0000
0.5000 0.5000 0.5000
```